[1]
Tb2TlS, optimized geometry, DFT GGA-PBE; final energy = -0.1871 hartree per atom; V = 25.776 Å³ per atom; ΔE_f (raw) = -1.1524 eV per atom; space-group type = No. 160; theoretical density = 8.927 g cm⁻³
1.0
3.822 0.000 0.000
1.911 3.310 0.000
1.911 1.103 8.150
Tb Tl S
2 1 1
Cartesian
1.911 1.103 6.549
1.911 1.103 1.612
3.822 2.207 4.082
5.733 3.310 8.133

---

[2]
Tb6TlS3, optimized geometry, DFT GGA-PBE; final energy = -0.2009 hartree per atom; V = 25.726 Å³ per atom; ΔE_f (raw) = -1.2124 eV per atom; space-group type = No. 11; theoretical density = 8.095 g cm⁻³
1.0
3.808 0.000 0.000
0.000 11.031 -3.054
0.000 0.358 12.150
Tb Tl S
12 2 6
Cartesian
2.856 6.038 6.165
0.952 5.351 2.931
2.856 10.157 -1.637
0.952 1.232 10.733
2.856 4.145 -0.557
0.952 7.244 9.653
2.856 7.830 0.886
0.952 3.559 8.210
2.856 2.172 5.167
0.952 9.217 3.928
2.856 9.300 6.943
0.952 2.089 2.152
2.856 0.777 8.052
0.952 10.612 1.043
2.856 5.396 8.932
0.952 5.993 0.164
2.856 7.207 3.574
0.952 4.182 5.522
2.856 1.597 0.328
0.952 9.792 8.768

---

[3]
Tb4TlS6, optimized geometry, DFT GGA-PBE; final energy = -0.2190 hartree per atom; V = 25.100 Å³ per atom; ΔE_f (raw) = -1.8078 eV per atom; space-group type = No. 63; theoretical density = 6.210 g cm⁻³
1.0
-3.892 -0.507 0.613
2.836 -6.292 -0.071
3.120 1.171 20.764
Tb Tl S
8 2 12
Cartesian
0.399 -4.442 11.720
1.131 -5.096 2.964
1.666 -1.186 9.586
0.933 -0.532 18.342
1.701 -3.953 20.386
0.363 -1.675 0.920
0.207 -0.804 13.510
1.858 -4.823 7.796
-0.886 -2.020 5.572
2.950 -3.608 15.734
-1.946 -0.254 0.307
-0.386 0.332 10.689
1.149 -0.048 7.251
0.915 -5.580 14.055
1.530 -5.349 18.142
0.535 -0.278 3.164
-0.149 -3.316 9.172
2.214 -2.312 12.135
3.280 -1.912 19.226
-1.215 -3.716 2.080
1.373 -4.069 5.348
0.691 -1.558 15.958